First-principles (PBE) data for a relaxed structure of SrCaPd, as listed in the Alexandria database.

## Properties
* magnetic moment: 0.00 μB/f.u.
* density of states at the Fermi level: 6.26 states/eV/cell
* energy relative to the lowest polymorph listed for this composition: 0.0 meV per atom

a = 7.5691 Å, b = 6.5632 Å, c = 8.1075 Å
α = 90.00°, β = 108.96°, γ = 90.00°
Last column: nearest neighbours and their distance in Å.
Space group P2_1/c (No. 14)
One atom of each set of equivalent atoms:
Sr 0.1269 0.1377 0.3525 [4 per cell]  4 Pd 3.17-3.37
Ca 0.4200 0.6543 0.3077 [4 per cell]  3 Pd 2.93-3.25
Pd 0.1843 0.5833 0.5266 [4 per cell]  1 Pd 2.90, 2 Ca 2.93-2.95, 3 Sr 3.17-3.23